Material: Ag2Ir
Method: DFT, PBE
State: optimized geometry

Computed properties:
E above lowest polymorph   173 meV/atom
Calculated volume   16.87 A^3/atom
Formation enthalpy at 0 K   1.30 eV per formula unit

The structure in POSCAR format:
```
Ag2Ir
1.0
4.666 4.242 -0.720
-5.621 -0.657 2.874
1.806 -1.443 3.203
Ir Ag
2 4
direct
0.068 0.932 0.250
0.932 0.068 0.750
0.586 0.414 0.750
0.248 0.752 0.750
0.414 0.586 0.250
0.752 0.248 0.250
```

---

Material: Ag3Ir2
Method: DFT, PBE
State: optimized geometry

Computed properties:
Calculated volume   16.23 A^3/atom
Formation enthalpy at 0 K   1.55 eV per formula unit

The structure in POSCAR format:
```
Ag3Ir2
1.0
-4.780 -8.415 7.568
-2.136 -8.783 8.320
-3.663 -6.817 9.542
Ag Ir
3 2
direct
0.000 0.000 0.000
0.799 0.799 0.799
0.201 0.201 0.201
0.400 0.400 0.400
0.600 0.600 0.600
```

---

Material: Ag2Ir
Method: DFT, PBE
State: optimized geometry

Computed properties:
E above lowest polymorph   433 meV/atom
Calculated volume   16.96 A^3/atom
Formation enthalpy at 0 K   2.08 eV per formula unit

The structure in POSCAR format:
```
Ag2Ir
1.0
-2.476 3.875 -0.246
2.326 -1.006 3.845
4.419 2.698 -1.967
Ag Ir
4 2
direct
0.000 0.000 0.000
0.000 0.000 0.500
0.667 0.333 0.750
0.333 0.667 0.250
0.667 0.333 0.250
0.333 0.667 0.750
```

---

Material: AgIr
Method: DFT, PBE
State: optimized geometry

Computed properties:
Calculated volume   17.68 A^3/atom
Formation enthalpy at 0 K   0.74 eV per formula unit

The structure in POSCAR format:
```
AgIr
1.0
-0.660 0.633 -7.909
6.977 -2.016 3.264
-0.977 -3.732 -0.217
Ir Ag
6 6
direct
0.560 0.440 0.750
0.440 0.560 0.250
0.881 0.440 0.750
0.119 0.560 0.250
0.560 0.119 0.750
0.440 0.881 0.250
0.849 0.699 0.250
0.699 0.849 0.750
0.849 0.151 0.250
0.151 0.849 0.750
0.301 0.151 0.250
0.151 0.301 0.750
```

---

Material: AgIr2
Method: DFT, PBE
State: optimized geometry

Computed properties:
E above lowest polymorph   665 meV/atom
Calculated volume   18.99 A^3/atom
Formation enthalpy at 0 K   2.70 eV per formula unit

The structure in POSCAR format:
```
AgIr2
1.0
-0.311 2.298 2.716
-2.245 -2.241 1.640
3.451 -1.957 2.051
Ir Ag
2 1
direct
0.000 0.500 0.500
0.500 0.000 0.500
0.000 0.000 0.000
```

---

Material: AgIr
Method: DFT, PBE
State: optimized geometry

Computed properties:
Calculated volume   16.13 A^3/atom
Formation enthalpy at 0 K   0.89 eV per formula unit

The structure in POSCAR format:
```
AgIr
1.0
-0.032 -2.726 -0.321
-0.226 1.062 2.522
-4.886 0.116 -0.486
Ag Ir
1 1
direct
0.000 0.000 0.000
0.500 0.500 0.500
```

---

Material: AgIr
Method: DFT, PBE
State: optimized geometry

Computed properties:
Calculated volume   16.26 A^3/atom
Formation enthalpy at 0 K   0.72 eV per formula unit

The structure in POSCAR format:
```
AgIr
1.0
1.391 5.637 0.004
-1.391 5.637 0.004
0.000 1.564 6.224
Ag Ir
3 3
direct
0.007 0.007 0.997
0.661 0.661 0.671
0.614 0.614 0.281
0.918 0.918 0.611
0.338 0.338 0.328
0.295 0.295 0.945
```

---

Material: Ag2Ir
Method: DFT, PBE
State: optimized geometry

Computed properties:
E above lowest polymorph   0 meV/atom
Calculated volume   16.58 A^3/atom
Formation enthalpy at 0 K   0.78 eV per formula unit

The structure in POSCAR format:
```
Ag2Ir
1.0
-4.207 -2.028 1.350
-2.465 -4.136 0.668
0.020 -2.542 7.911
Ag Ir
4 2
direct
0.989 0.989 0.756
0.331 0.331 0.097
0.669 0.669 0.903
0.011 0.011 0.244
0.660 0.660 0.444
0.340 0.340 0.556
```

---

Material: AgIr
Method: DFT, PBE
State: optimized geometry

Computed properties:
Calculated volume   18.25 A^3/atom
Formation enthalpy at 0 K   1.31 eV per formula unit

The structure in POSCAR format:
```
AgIr
1.0
-3.533 10.494 13.840
-4.044 1.155 -1.909
-1.177 -2.049 1.253
Ir Ag
6 6
direct
0.779 0.000 0.000
0.500 0.000 0.000
0.279 0.500 0.000
0.221 0.000 0.000
0.000 0.500 0.000
0.721 0.500 0.000
0.500 0.500 0.500
0.136 0.500 0.500
0.364 0.000 0.500
0.000 0.000 0.500
0.864 0.500 0.500
0.636 0.000 0.500
```

---

Material: AgIr
Method: DFT, PBE
State: optimized geometry

Computed properties:
Calculated volume   18.40 A^3/atom
Formation enthalpy at 0 K   2.42 eV per formula unit

The structure in POSCAR format:
```
AgIr
1.0
5.228 0.000 0.000
0.000 5.228 0.000
0.000 0.000 5.384
Ir Ag
4 4
direct
0.668 0.668 0.000
0.832 0.168 0.500
0.332 0.332 0.000
0.168 0.832 0.500
0.681 0.681 0.500
0.819 0.181 0.000
0.319 0.319 0.500
0.181 0.819 0.000
```

---

Material: Ag2Ir
Method: DFT, PBE
State: optimized geometry

Computed properties:
E above lowest polymorph   173 meV/atom
Calculated volume   17.09 A^3/atom
Formation enthalpy at 0 K   1.30 eV per formula unit

The structure in POSCAR format:
```
Ag2Ir
1.0
-10.240 7.850 5.167
-8.257 10.650 3.399
8.219 -9.535 -5.890
Ag Ir
4 2
direct
0.171 0.671 0.500
0.329 0.829 0.500
0.421 0.421 0.000
0.579 0.579 0.000
0.000 0.000 0.000
0.750 0.250 0.500
```

---

Material: AgIr
Method: DFT, PBE
State: optimized geometry

Computed properties:
Calculated volume   18.80 A^3/atom
Formation enthalpy at 0 K   2.91 eV per formula unit

The structure in POSCAR format:
```
AgIr
1.0
3.954 0.000 0.000
-1.977 3.424 0.000
0.000 0.000 5.555
Ag Ir
2 2
direct
0.000 0.000 0.000
0.000 0.000 0.500
0.333 0.667 0.250
0.667 0.333 0.750
```

---

Material: Ag5Ir3
Method: DFT, PBE
State: optimized geometry

Computed properties:
E above lowest polymorph   0 meV/atom
Calculated volume   18.06 A^3/atom
Formation enthalpy at 0 K   3.66 eV per formula unit

The structure in POSCAR format:
```
Ag5Ir3
1.0
-3.981 -2.833 -4.157
6.253 0.338 1.391
-1.057 -8.532 6.825
Ag Ir
10 6
direct
0.354 0.146 0.320
0.647 0.854 0.681
0.865 0.636 0.842
0.646 0.854 0.320
0.136 0.365 0.842
0.001 0.501 0.629
0.135 0.365 0.159
0.000 0.500 0.372
0.354 0.147 0.681
0.865 0.635 0.159
0.799 0.702 0.500
0.202 0.299 0.500
0.314 0.186 0.000
0.501 0.001 0.886
0.500 0.000 0.115
0.686 0.814 0.000
```

---

Material: AgIr2
Method: DFT, PBE
State: optimized geometry

Computed properties:
E above lowest polymorph   584 meV/atom
Calculated volume   18.46 A^3/atom
Formation enthalpy at 0 K   2.45 eV per formula unit

The structure in POSCAR format:
```
AgIr2
1.0
-1.872 1.872 7.898
1.872 -1.872 7.898
1.872 1.872 -7.898
Ag Ir
2 4
direct
0.750 0.250 0.500
0.000 0.000 0.000
0.423 0.423 0.000
0.577 0.577 0.000
0.173 0.673 0.500
0.327 0.827 0.500
```

---

Material: AgIr
Method: DFT, PBE
State: optimized geometry

Computed properties:
Calculated volume   25.67 A^3/atom
Formation enthalpy at 0 K   4.28 eV per formula unit

The structure in POSCAR format:
```
AgIr
1.0
-0.857 -4.009 -0.747
2.887 1.971 -2.268
4.799 -1.863 4.490
Ir Ag
2 2
direct
0.667 0.333 0.872
0.333 0.667 0.372
0.333 0.667 0.999
0.667 0.333 0.499
```

---

Material: AgIr
Method: DFT, PBE
State: optimized geometry

Computed properties:
Calculated volume   22.51 A^3/atom
Formation enthalpy at 0 K   2.40 eV per formula unit

The structure in POSCAR format:
```
AgIr
1.0
-0.355 4.365 -3.213
-18.364 1.053 3.459
1.288 4.199 5.561
Ir Ag
16 16
direct
0.500 0.355 0.500
0.000 0.645 0.000
0.250 0.895 0.750
0.500 0.645 0.500
0.000 0.145 0.500
0.250 0.605 0.750
0.250 0.395 0.250
0.500 0.145 0.000
0.250 0.105 0.250
0.000 0.855 0.500
0.750 0.105 0.750
0.750 0.395 0.750
0.500 0.855 0.000
0.750 0.605 0.250
0.000 0.355 0.000
0.750 0.895 0.250
0.496 0.750 0.250
0.996 0.750 0.750
0.754 0.000 0.000
0.004 0.750 0.250
0.754 0.500 0.500
0.504 0.250 0.250
0.746 0.500 0.000
0.746 0.000 0.500
0.254 0.000 0.500
0.496 0.250 0.750
0.004 0.250 0.750
0.246 0.500 0.500
0.996 0.250 0.250
0.504 0.750 0.750
0.254 0.500 0.000
0.246 0.000 0.000
```

---

Material: Ag2Ir
Method: DFT, PBE
State: optimized geometry

Computed properties:
E above lowest polymorph   128 meV/atom
Calculated volume   16.57 A^3/atom
Formation enthalpy at 0 K   1.16 eV per formula unit

The structure in POSCAR format:
```
Ag2Ir
1.0
-6.611 0.274 -1.749
-6.422 -1.794 1.543
6.310 2.393 1.141
Ag Ir
2 1
direct
0.997 0.997 0.000
0.669 0.669 0.000
0.333 0.333 0.000
```

---

Material: AgIr
Method: DFT, PBE
State: optimized geometry

Computed properties:
Calculated volume   19.77 A^3/atom
Formation enthalpy at 0 K   1.84 eV per formula unit

The structure in POSCAR format:
```
AgIr
1.0
4.365 0.000 0.000
-2.182 3.780 0.000
0.000 0.000 4.794
Ag Ir
2 2
direct
0.667 0.333 0.750
0.333 0.667 0.250
0.000 0.000 0.000
0.000 0.000 0.500
```

---

Material: Ag2Ir
Method: DFT, PBE
State: optimized geometry

Computed properties:
E above lowest polymorph   190 meV/atom
Calculated volume   16.70 A^3/atom
Formation enthalpy at 0 K   1.35 eV per formula unit

The structure in POSCAR format:
```
Ag2Ir
1.0
1.332 -7.750 0.000
1.332 7.750 0.000
0.000 0.000 4.852
Ag Ir
4 2
direct
0.280 0.720 0.250
0.948 0.052 0.250
0.720 0.280 0.750
0.052 0.948 0.750
0.384 0.616 0.750
0.616 0.384 0.250
```

---

Material: AgIr2
Method: DFT, PBE
State: optimized geometry

Computed properties:
E above lowest polymorph   168 meV/atom
Calculated volume   16.26 A^3/atom
Formation enthalpy at 0 K   1.21 eV per formula unit

The structure in POSCAR format:
```
AgIr2
1.0
-1.379 1.893 4.673
1.379 -1.893 4.673
1.379 1.893 -4.673
Ag Ir
1 2
direct
0.000 0.000 0.000
0.691 0.691 0.000
0.309 0.309 0.000
```